An optimized crystal structure of BaSi2Rh. Source: Alexandria, functional GGA-PBE.

The structure belongs to space group R3m (No. 160, hexagonal axes); the cell edges are 4.1522, 4.1522 and 18.2630 Å and the angles 90.00°, 90.00° and 120.00°. The inequivalent atoms are Ba at (0.0000, 0.0000, 0.0000), Si at (0.0000, 0.0000, 0.1951), Si at (0.0000, 0.0000, 0.4613) and Rh at (0.0000, 0.0000, 0.8202).

As for the theoretical density: 5.41 Mg/m³. Its crystal system is trigonal. Its uncorrected formation energy is -553 meV per atom.